Entry from Alexandria via LeMat-Bulk: a relaxed Mg6In2Hg crystal (PBE).

Computed properties:
Magnetization   0.00 μB per formula unit
Excess energy over the best structure of this formula in the dataset   0 meV/atom
DOS(E_F)   2.51 states/eV/cell

abc: 3.541 8.175 8.174
angles: 120.00 90.00 90.00
Atoms (fractional coordinates):
In: 0.000 0.333 0.667
Mg: 0.500 0.372 0.372
In: 0.000 0.667 0.333
Mg: 0.000 0.722 0.722
Mg: 0.000 0.278 0.000
Mg: 0.000 0.000 0.278
Mg: 0.500 0.628 0.000
Hg: 0.500 0.000 0.000
Mg: 0.500 0.000 0.628